# Rb2Cd2O

A geometry-optimized Rb2Cd2O structure (PBE-GGA, the Alexandria database).

Electronic total energy: -19.2 eV for the cell shown
M_tot: 0.0 μB per formula unit
Formation energy without anion corrections: -0.1723 eV per atom

abc: 7.2563 7.2563 7.2831
angles: 90.00 90.00 90.00
Space group I4/mmm (No. 139)
One atom of each set of equivalent atoms:
1 Rb 0.0000 0.5000 0.2500 [4 per cell]
2 Cd 0.0000 0.0000 0.2045 [4 per cell]
3 O 0.0000 0.0000 0.5000 [2 per cell]

# RbCdO

A geometry-optimized RbCdO structure (PBE-GGA, the Alexandria database).

Electronic total energy: -15.1 eV for the cell shown
M_tot: 0.9 μB per formula unit
Formation energy without anion corrections: -0.2420 eV per atom

abc: 5.2557 5.2557 8.1877
angles: 90.00 90.00 90.00
Space group I4mm (No. 107)
One atom of each set of equivalent atoms:
1 Rb 0.0000 0.0000 0.0000 [2 per cell]
2 Cd 0.0000 0.0000 0.5633 [2 per cell]
3 O 0.0000 0.0000 0.3152 [2 per cell]

# Rb3Cd4O4

A geometry-optimized Rb3Cd4O4 structure (PBE-GGA, the Alexandria database).

Electronic total energy: -67.1 eV for the cell shown
M_tot: 0.0 μB per formula unit
Formation energy without anion corrections: -0.6520 eV per atom

abc: 3.5037 9.4617 13.1583
angles: 90.00 90.00 90.00
Space group Immm (No. 71)
One atom of each set of equivalent atoms:
1 Rb 0.0000 0.0000 0.0000 [2 per cell]
2 Rb 0.0000 0.5000 0.1152 [4 per cell]
3 Cd 0.0000 0.3188 0.3341 [8 per cell]
4 O 0.0000 0.0000 0.2040 [4 per cell]
5 O 0.0000 0.2469 0.5000 [4 per cell]

# Rb7Cd4O

A geometry-optimized Rb7Cd4O structure (PBE-GGA, the Alexandria database).

Electronic total energy: -36.4 eV for the cell shown
M_tot: 0.0 μB per formula unit
Formation energy without anion corrections: -0.2361 eV per atom

abc: 22.0567 6.4780 7.9683
angles: 90.00 91.71 90.00
Space group C2/m (No. 12)
One atom of each set of equivalent atoms:
1 Rb 0.0000 0.0000 0.0000 [2 per cell]
2 Rb 0.0615 0.5000 0.7183 [4 per cell]
3 Rb 0.1053 0.5000 0.1737 [4 per cell]
4 Rb 0.2331 0.0000 0.2736 [4 per cell]
5 Cd 0.0675 0.0000 0.4778 [4 per cell]
6 Cd 0.1659 0.0000 0.7449 [4 per cell]
7 O 0.0000 0.5000 0.0000 [2 per cell]

# RbCdO

A geometry-optimized RbCdO structure (PBE-GGA, the Alexandria database).

Electronic total energy: -37.6 eV for the cell shown
M_tot: 0.0 μB per formula unit
Formation energy without anion corrections: -0.8564 eV per atom

abc: 13.3106 3.4570 9.0580
angles: 90.00 132.19 90.00
Space group C2/m (No. 12)
One atom of each set of equivalent atoms:
1 Rb 0.1672 0.0000 0.1650 [4 per cell]
2 Cd 0.0005 0.0000 0.3482 [4 per cell]
3 O 0.0006 0.5000 0.8074 [4 per cell]

# Rb4Cd2O

A geometry-optimized Rb4Cd2O structure (PBE-GGA, the Alexandria database).

Electronic total energy: -27.0 eV for the cell shown
M_tot: 0.0 μB per formula unit
Formation energy without anion corrections: -0.4033 eV per atom

abc: 17.9310 4.2519 7.6861
angles: 90.00 90.33 90.00
Space group C2/m (No. 12)
One atom of each set of equivalent atoms:
1 Rb 0.0363 0.0000 0.2716 [4 per cell]
2 Rb 0.1451 0.5000 0.6159 [4 per cell]
3 Cd 0.2132 0.5000 0.1052 [4 per cell]
4 O 0.0000 0.5000 0.5000 [2 per cell]